1.
{
  "formula": "Nd3Sm6Ho2In",
  "functional": "PBE",
  "state": "optimized geometry",
  "e_form_mev_per_atom": -34,
  "spacegroup": "No. 12",
  "cell": [[3.111, -5.406, 0.000], [3.111, 5.406, 0.000], [-2.115, 0.000, 11.619]],
  "species": ["Nd", "Nd", "Nd", "Sm", "Sm", "Sm", "Sm", "Sm", "Sm", "Ho", "Ho", "In"],
  "fractional_positions": [[0.000, 0.000, 0.000], [0.331, 0.669, 0.000], [0.669, 0.331, 0.000], [0.094, 0.420, 0.258], [0.254, 0.254, 0.744], [0.420, 0.094, 0.258], [0.580, 0.906, 0.742], [0.746, 0.746, 0.256], [0.906, 0.580, 0.742], [0.166, 0.834, 0.500], [0.834, 0.166, 0.500], [0.500, 0.500, 0.500]]
}

2.
{
  "formula": "Si2Ir2F",
  "functional": "PBE",
  "state": "optimized geometry",
  "formation_energy_uncorrected_kj_per_mol_atoms": -62.57,
  "spacegroup": "No. 127",
  "polymorph_energy_mev_per_atom": 0.0,
  "cell": [[7.032, 0.000, 0.000], [0.000, 7.032, 0.000], [0.000, 0.000, 2.783]],
  "species": ["Si", "Si", "Si", "Si", "Ir", "Ir", "Ir", "Ir", "F", "F"],
  "fractional_positions": [[0.152, 0.348, 0.000], [0.348, 0.848, 0.000], [0.652, 0.152, 0.000], [0.848, 0.652, 0.000], [0.142, 0.642, 0.500], [0.358, 0.142, 0.500], [0.642, 0.858, 0.500], [0.858, 0.358, 0.500], [0.000, 0.000, 0.000], [0.500, 0.500, 0.000]]
}

Per-record DFT total energy, eV/cell: -54.92, -67.36
Per-record magnetization, μB per atom: 0.000, 0.000
Per-record V, Å³ per cell: 390.8, 137.6